[1]
DFT (PBE) results for a geometry-optimized MgTl2C structure.

Structure (extended XYZ):
```
8
Lattice="-4.520 -2.376 -4.173 -0.532 -5.447 3.678 -5.905 -1.888 2.261" Properties=species:S:1:pos:R:3 pbc="T T T"
C -2.526 -3.912 -0.247
C -4.482 -5.624 2.846
Tl -3.983 -2.436 -1.228
Tl -2.759 -4.376 1.987
Tl -6.369 -4.814 1.823
Tl -8.804 -7.798 0.950
Mg 0.000 0.000 0.000
Mg -6.475 -4.088 -1.080
```

Calculated values
**Relative energy among the computed polymorphs**: 0 meV per atom

=====

[2]
DFT (PBE) results for a geometry-optimized Mg2TlC structure.

Structure (extended XYZ):
```
4
Lattice="0.000 3.309 3.309 3.309 0.000 3.309 3.309 3.309 0.000" Properties=species:S:1:pos:R:3 pbc="T T T"
C 0.000 0.000 0.000
Tl 3.309 3.309 3.309
Mg 1.655 1.655 1.655
Mg 4.964 4.964 4.964
```

=====

[3]
DFT (PBE) results for a geometry-optimized Tm2MgTlC structure.

Structure (extended XYZ):
```
5
Lattice="4.458 0.000 0.000 0.000 4.861 0.000 0.000 0.000 4.861" Properties=species:S:1:pos:R:3 pbc="T T T"
Tm 0.000 0.000 2.430
Tm 0.000 2.430 0.000
Mg 2.229 0.000 0.000
Tl 2.229 2.430 2.430
C 0.000 0.000 0.000
```

=====

[4]
DFT (PBE) results for a geometry-optimized YMg2TlC structure.

Structure (extended XYZ):
```
5
Lattice="-0.395 4.391 -1.138 -3.024 0.597 3.351 3.634 1.125 3.079" Properties=species:S:1:pos:R:3 pbc="T T T"
Y 1.817 0.562 1.540
C 0.000 0.000 0.000
Tl 0.108 3.056 2.646
Mg -1.512 0.298 1.676
Mg -0.197 2.195 -0.569
```

Calculated values
**Relative energy among the computed polymorphs**: 0 meV per atom

=====

[5]
DFT (PBE) results for a geometry-optimized YMg2TlC structure.

Structure (extended XYZ):
```
5
Lattice="4.441 0.000 0.000 0.000 5.523 0.000 0.000 0.000 4.441" Properties=species:S:1:pos:R:3 pbc="T T T"
Y 2.220 2.762 2.220
C 0.000 0.000 0.000
Tl 0.000 2.762 0.000
Mg 0.000 0.000 2.220
Mg 2.220 0.000 0.000
```

Calculated values
**Relative energy among the computed polymorphs**: 513 meV per atom

=====

[6]
DFT (PBE) results for a geometry-optimized MgTl2ZnC structure.

Structure (extended XYZ):
```
5
Lattice="5.097 0.000 0.000 0.000 4.224 0.000 0.000 0.000 5.097" Properties=species:S:1:pos:R:3 pbc="T T T"
Mg 0.000 2.112 0.000
C 0.000 0.000 0.000
Tl 0.000 0.000 2.548
Tl 2.548 0.000 0.000
Zn 2.548 2.112 2.548
```

=====

[7]
DFT (PBE) results for a geometry-optimized Tm5MgC2 structure.

Structure (extended XYZ):
```
8
Lattice="-1.763 3.009 -1.027 -4.527 -1.108 4.526 6.961 2.910 3.012" Properties=species:S:1:pos:R:3 pbc="T T T"
Tm -2.264 -0.554 2.263
Tm -0.797 2.461 2.142
Tm 1.468 2.351 4.369
Tm -3.055 1.908 4.399
Tm 3.725 2.904 2.112
Mg 0.000 0.000 0.000
C -0.842 0.885 4.037
C 1.512 3.927 2.474
```

=====

[8]
DFT (PBE) results for a geometry-optimized Tm8MgC5 structure.

Structure (extended XYZ):
```
14
Lattice="3.481 0.000 -0.681 -0.422 8.724 -2.158 0.006 0.089 9.271" Properties=species:S:1:pos:R:3 pbc="T T T"
Tm 0.753 1.357 3.852
Tm 2.312 7.456 2.580
Tm 0.400 4.253 2.045
Tm 2.665 4.560 4.388
Tm -0.041 7.329 -0.212
Tm 3.107 1.485 6.644
Tm 1.115 7.539 5.702
Tm 1.950 1.274 0.730
Mg 1.530 4.362 -1.419
C 0.746 5.850 3.815
C 2.319 2.963 2.617
C 1.172 0.310 5.995
C 1.893 8.503 0.437
C 3.487 0.089 8.590
```

=====

Record-wise ΔE_f values, in eV/f.u.: 4.19, 3.89, -1.52, -0.37, 2.19, 3.51, -0.69, -4.39